[1]
Entry from the Alexandria database: a geometry-optimized YZn2Bi2 structure (PBE).

Summary:
**Energy**: -3.481 eV/atom
**ΔE_f**: -0.127 eV/atom
**Distance to the lowest polymorph of the same formula**: 33 kJ/mol of formula units
**Total magnetic moment**: 0.00 μB per cell
**Symmetry**: No. 139

```
YZn2Bi2
1.0
4.1104 0.0000 0.0000
0.0000 4.1104 0.0000
2.0552 2.0552 7.7339
Bi Zn Y
2 2 1
Cartesian
2.0552 2.0552 1.6787 Bi
4.1104 4.1104 6.0552 Bi
4.1104 2.0552 3.8669 Zn
2.0552 4.1104 3.8669 Zn
0.0000 0.0000 0.0000 Y
```

[2]
Entry from the Alexandria database: a geometry-optimized TaBeIO2 structure (PBE).

Summary:
**Energy**: -6.322 eV/atom
**E_form (uncorrected)**: -0.913 eV/atom
**Distance to the lowest polymorph of the same formula**: 0 kJ/mol of formula units
**Total magnetic moment**: 0.00 μB per cell
**Symmetry**: No. 123

```
TaBeIO2
1.0
-2.8125 2.2868 -1.5016
-0.4463 -2.5083 -2.9840
-4.1922 -3.0568 3.1966
O Ta Be I
2 1 1 1
Cartesian
-0.2232 -1.2542 -1.4920 O
-1.4063 1.1434 -0.7508 O
0.0000 0.0000 0.0000 Ta
-3.7255 -1.6391 -0.6445 Be
-2.0961 -1.5284 1.5983 I
```